First-principles (PBE) data for a relaxed HfThSn2 crystal, as listed in Alexandria.

Cell lengths 3.9222, 3.9222, 6.6238 Å; angles 90.00, 90.00, 90.00 degrees
Closest atoms and distances in Å follow each position.
Element x y z (fractional)
Hf 0.0000 0.0000 0.0000  8 Sn 3.13, 2 Th 3.31
Th 0.0000 0.0000 0.5000  2 Hf 3.31, 8 Sn 3.33
Sn 0.5000 0.5000 0.2204  1 Sn 2.92, 4 Hf 3.13
Sn 0.5000 0.5000 0.7796  1 Sn 2.92, 4 Hf 3.13

## Properties
- energy of formation from the pure elements (eV per formula unit) = -1.36
- total DFT energy (no corrections) (eV per cell) = -26.74
- distance to the lowest polymorph of the same formula (kcal/mol of atoms) = 0.00

***

First-principles (PBE) data for a relaxed BiP crystal, as listed in Alexandria.

Cell lengths 4.2849, 4.2849, 4.2849 Å; angles 57.42, 57.42, 57.42 degrees
Closest atoms and distances in Å follow each position.
Element x y z (fractional)
Bi 0.0000 0.0000 0.0000  3 P 2.77
P 0.5345 0.5345 0.5345  3 Bi 2.77

## Properties
- energy of formation from the pure elements (eV per formula unit) = 0.18
- total DFT energy (no corrections) (eV per cell) = -9.11
- distance to the lowest polymorph of the same formula (kcal/mol of atoms) = 0.50

***

First-principles (PBE) data for a relaxed ScSi2Os crystal, as listed in Alexandria.

Cell lengths 8.6993, 8.6993, 8.6993 Å; angles 151.22, 151.22, 41.15 degrees
Closest atoms and distances in Å follow each position.
Element x y z (fractional)
Sc 0.0000 0.0000 0.0000  4 Si 2.83, 4 Os 3.06
Sc 0.7500 0.2500 0.5000  4 Si 2.83, 4 Os 3.06
Si 0.2562 0.6250 0.1312  2 Os 2.36, 2 Si 2.39
Si 0.3750 0.5062 0.6312  2 Os 2.36, 2 Si 2.39
Si 0.4938 0.1250 0.8688  2 Os 2.36, 2 Si 2.39
Si 0.8750 0.7438 0.3688  2 Os 2.36, 2 Si 2.39
Os 0.2500 0.7500 0.5000  4 Si 2.36
Os 0.5000 0.5000 0.0000  4 Si 2.36

## Properties
- total DFT energy (no corrections) (eV per cell) = -56.95
- E_form (uncorrected) (eV/f.u.) = -0.067

***

First-principles (PBE) data for a relaxed BeGa3Rh crystal, as listed in Alexandria.

Cell lengths 4.7746, 4.7746, 4.7746 Å; angles 90.00, 90.00, 90.00 degrees
Closest atoms and distances in Å follow each position.
Element x y z (fractional)
Be 0.0000 0.0000 0.0000  12 Ga 3.38
Ga 0.0000 0.5000 0.5000  2 Rh 2.39
Ga 0.5000 0.0000 0.5000  2 Rh 2.39
Ga 0.5000 0.5000 0.0000  2 Rh 2.39
Rh 0.5000 0.5000 0.5000  6 Ga 2.39

## Properties
- energy of formation from the pure elements (eV per formula unit) = 1.56
- total DFT energy (no corrections) (eV per cell) = -18.60
- distance to the lowest polymorph of the same formula (kcal/mol of atoms) = 0.00

***

First-principles (PBE) data for a relaxed NdSm6Tm2Th crystal, as listed in Alexandria.

Cell lengths 8.8246, 8.8246, 9.6273 Å; angles 93.71, 93.71, 115.79 degrees
Closest atoms and distances in Å follow each position.
Element x y z (fractional)
Nd 0.0943 0.9057 0.7500  6 Sm 3.46-3.55, 2 Tm 3.56
Nd 0.9057 0.0943 0.2500  6 Sm 3.46-3.55, 2 Tm 3.56
Sm 0.0156 0.7969 0.3825  3 Sm 3.27-3.45, 3 Tm 3.32-3.48, 2 Nd 3.46-3.55
Sm 0.0746 0.5159 0.1838  2 Sm 3.27-3.65, 1 Th 3.41, 1 Tm 3.45, 1 Nd 3.48
Sm 0.2031 0.9844 0.1175  3 Sm 3.27-3.45, 3 Tm 3.32-3.48, 2 Nd 3.46-3.55
Sm 0.2623 0.6083 0.5591  7 Sm 3.45-3.83, 2 Tm 3.47-3.79, 2 Th 3.60-3.75
Sm 0.3917 0.7377 0.9409  7 Sm 3.45-3.83, 2 Tm 3.47-3.79, 2 Th 3.60-3.75
Sm 0.4841 0.9254 0.3162  2 Sm 3.27-3.65, 1 Th 3.41, 1 Tm 3.45, 1 Nd 3.48
Sm 0.5159 0.0746 0.6838  2 Sm 3.27-3.65, 1 Th 3.41, 1 Tm 3.45, 1 Nd 3.48
Sm 0.6083 0.2623 0.0591  7 Sm 3.45-3.83, 2 Tm 3.47-3.79, 2 Th 3.60-3.75
Sm 0.7377 0.3917 0.4409  7 Sm 3.45-3.83, 2 Tm 3.47-3.79, 2 Th 3.60-3.75
Sm 0.7969 0.0156 0.8825  3 Sm 3.27-3.45, 3 Tm 3.32-3.48, 2 Nd 3.46-3.55
Sm 0.9254 0.4841 0.8162  2 Sm 3.27-3.65, 1 Th 3.41, 1 Tm 3.45, 1 Nd 3.48
Sm 0.9844 0.2031 0.6175  3 Sm 3.27-3.45, 3 Tm 3.32-3.48, 2 Nd 3.46-3.55
Tm 0.2081 0.3017 0.9473  6 Sm 3.32-3.71, 2 Th 3.38-3.49, 1 Nd 3.56
Tm 0.3017 0.2081 0.4473  6 Sm 3.32-3.71, 2 Th 3.38-3.49, 1 Nd 3.56
Tm 0.6983 0.7919 0.5527  6 Sm 3.32-3.71, 2 Th 3.38-3.49, 1 Nd 3.56
Tm 0.7919 0.6983 0.0527  6 Sm 3.32-3.71, 2 Th 3.38-3.49, 1 Nd 3.56
Th 0.4667 0.5333 0.2500  4 Tm 3.38-3.49, 6 Sm 3.41-3.75
Th 0.5333 0.4667 0.7500  4 Tm 3.38-3.49, 6 Sm 3.41-3.75

## Properties
- energy of formation from the pure elements (eV per formula unit) = 1.44
- total DFT energy (no corrections) (eV per cell) = -96.01

***

First-principles (PBE) data for a relaxed V4CrGa2 crystal, as listed in Alexandria.

Cell lengths 7.3368, 7.3368, 7.3368 Å; angles 147.04, 147.04, 47.30 degrees
Closest atoms and distances in Å follow each position.
Element x y z (fractional)
V 0.0000 0.5000 0.5000  2 Cr 2.08
V 0.1717 0.1717 0.0000  1 Cr 2.31, 1 Ga 2.57
V 0.5000 0.0000 0.5000  2 Cr 2.08
V 0.8283 0.8283 0.0000  1 Cr 2.31, 1 Ga 2.57
Cr 0.0000 0.0000 0.0000  6 V 2.08-2.31
Ga 0.3632 0.3632 0.0000  5 V 2.57-2.78
Ga 0.6368 0.6368 0.0000  5 V 2.57-2.78

## Properties
- energy of formation from the pure elements (eV per formula unit) = 4.58
- total DFT energy (no corrections) (eV per cell) = -47.57
- distance to the lowest polymorph of the same formula (kcal/mol of atoms) = 13.99

***

> The lowest total DFT energy (no corrections) belongs to which entry?

NdSm6Tm2Th